# 1
{"formula": "Na2InSn3Pt4", "functional": "PBE", "state": "relaxed", "spacegroup": "No. 115", "e_form_ev_per_atom": -0.4674, "magnetic_moment_mub_per_atom": 0.000, "cell": [[-3.084, 0.087, 3.568], [3.511, -0.766, 3.054], [1.403, 10.263, 0.962]], "species": ["Pt", "Sn", "Sn", "Sn", "Na", "Na", "Pt", "Pt", "Pt", "In"], "frac_coords": [[0.500, 0.000, 0.627], [0.500, 0.000, 0.878], [0.000, 0.500, 0.122], [0.000, 0.000, 0.500], [0.500, 0.000, 0.232], [0.000, 0.500, 0.768], [0.000, 0.000, 0.000], [0.500, 0.500, 0.000], [0.000, 0.500, 0.373], [0.500, 0.500, 0.500]]}

# 2
{"formula": "RbSbTeN2", "functional": "PBE", "state": "relaxed", "formation_energy_uncorrected_ev_per_atom": 2.335, "spacegroup": "No. 123", "magnetic_moment_mub_per_atom": 0.065, "cell": [[4.736, 0.000, 0.000], [0.000, 4.736, 0.000], [0.000, 0.000, 7.259]], "species": ["N", "Sb", "Te", "Rb", "N"], "frac_coords": [[0.000, 0.500, 0.000], [0.500, 0.500, 0.500], [0.000, 0.000, 0.500], [0.000, 0.000, 0.000], [0.500, 0.000, 0.000]]}

# 3
{"formula": "SbRu2Pb", "functional": "PBE", "state": "relaxed", "formation_energy_uncorrected_ev_per_atom": 0.293, "spacegroup": "No. 44", "magnetic_moment_mub_per_atom": 0.000, "cell": [[6.520, 0.011, 0.014], [4.480, 4.736, -0.014], [-5.319, -2.794, 2.532]], "species": ["Sb", "Ru", "Ru", "Pb"], "frac_coords": [[0.537, 0.537, 0.000], [0.964, 0.964, 0.000], [0.707, 0.207, 0.500], [0.291, 0.791, 0.500]]}

# 4
{"formula": "AgAu3", "functional": "PBE", "state": "relaxed", "spacegroup": "No. 166", "e_form_ev_per_atom": 0.0271, "magnetic_moment_mub_per_atom": 0.000, "cell": [[5.564, -0.015, -0.049], [-2.538, 4.952, -0.049], [-2.538, -4.141, 2.716]], "species": ["Au", "Ag", "Au", "Au"], "frac_coords": [[0.500, 0.500, 0.000], [0.000, 0.000, 0.000], [0.500, 0.000, 0.500], [0.000, 0.500, 0.500]]}

# 5
{"formula": "AcCe2Tm", "functional": "PBE", "state": "relaxed", "spacegroup": "No. 123", "e_form_ev_per_atom": 0.1493, "magnetic_moment_mub_per_atom": 0.499, "cell": [[-1.300, -4.646, -1.972], [1.935, -2.262, 4.054], [-4.470, 0.279, 2.289]], "species": ["Ac", "Ce", "Ce", "Tm"], "frac_coords": [[0.500, 0.000, 0.000], [0.000, 0.000, 0.500], [0.000, 0.500, 0.000], [0.500, 0.500, 0.500]]}

# 6
{"formula": "K3Hg2Br7", "functional": "PBE", "state": "relaxed", "formation_energy_uncorrected_ev_per_atom": -1.019, "spacegroup": "No. 65", "magnetic_moment_mub_per_atom": 0.000, "cell": [[-4.822, -1.209, 2.627], [-2.425, -1.297, -5.048], [5.259, -12.420, 3.938]], "species": ["Br", "Br", "Br", "Br", "Br", "Br", "K", "Hg", "K", "Br", "Hg", "K"], "frac_coords": [[0.000, 0.406, 0.811], [0.500, 0.095, 0.190], [0.000, 0.201, 0.402], [0.000, 0.799, 0.598], [0.500, 0.905, 0.810], [0.000, 0.594, 0.189], [0.500, 0.668, 0.335], [0.000, 0.896, 0.793], [0.500, 0.332, 0.665], [0.000, 0.000, 0.000], [0.000, 0.104, 0.207], [0.500, 0.500, 0.000]]}